*P*
## TeBr3F (PBE-GGA)

Data for an optimized crystal structure of TeBr3F.

Unit cell a=5.4912 b=5.4912 c=5.4912 alpha=90.00 beta=90.00 gamma=90.00
Positions (direct):
Te 0.0000 0.0000 0.0000
Br 0.0000 0.0000 0.5000
Br 0.0000 0.5000 0.0000
Br 0.5000 0.0000 0.0000
F 0.5000 0.5000 0.5000


*Q*
## TeBr3F (PBE-GGA)

Data for an optimized crystal structure of TeBr3F.

Unit cell a=4.9798 b=4.9798 c=4.9798 alpha=90.00 beta=90.00 gamma=90.00
Positions (direct):
Te 0.0000 0.0000 0.0000
Br 0.0000 0.5000 0.5000
Br 0.5000 0.0000 0.5000
Br 0.5000 0.5000 0.0000
F 0.5000 0.5000 0.5000


The most stable arrangement is *P*, and the next structure is 51.3 kJ/mol of atoms less stable.


*P*
## Te2BrF (PBE-GGA)

Data for an optimized crystal structure of Te2BrF.

Unit cell a=5.0446 b=5.0446 c=5.0446 alpha=60.00 beta=60.00 gamma=60.00
Positions (direct):
Te 0.2500 0.2500 0.2500
Te 0.7500 0.7500 0.7500
Br 0.0000 0.0000 0.0000
F 0.5000 0.5000 0.5000


*Q*
## Te2BrF (PBE-GGA)

Data for an optimized crystal structure of Te2BrF.

Unit cell a=7.4434 b=7.4434 c=7.4434 alpha=37.15 beta=37.15 gamma=37.15
Positions (direct):
Te 0.1393 0.1393 0.1393
Te 0.8607 0.8607 0.8607
Br 0.0000 0.0000 0.0000
F 0.5000 0.5000 0.5000


*R*
## Te2BrF (PBE-GGA)

Data for an optimized crystal structure of Te2BrF.

Unit cell a=9.7324 b=9.7324 c=9.7324 alpha=149.96 beta=149.96 gamma=43.01
Positions (direct):
Te 0.0136 0.6250 0.8886
Te 0.3750 0.2636 0.3886
Te 0.7364 0.1250 0.1114
Te 0.8750 0.9864 0.6114
Br 0.2500 0.7500 0.5000
Br 0.5000 0.5000 0.0000
F 0.0000 0.0000 0.0000
F 0.7500 0.2500 0.5000


The most stable arrangement is *Q*, and the next structure is 20.5 kJ/mol of atoms less stable.


*P*
## TiBrF2 (PBE-GGA)

Data for an optimized crystal structure of TiBrF2.

Unit cell a=4.2694 b=4.2694 c=4.2694 alpha=60.00 beta=60.00 gamma=60.00
Positions (direct):
Ti 0.0000 0.0000 0.0000
Br 0.5000 0.5000 0.5000
F 0.2500 0.2500 0.2500
F 0.7500 0.7500 0.7500


*Q*
## TiBrF2 (PBE-GGA)

Data for an optimized crystal structure of TiBrF2.

Unit cell a=10.4008 b=10.4008 c=10.4008 alpha=16.83 beta=16.83 gamma=16.83
Positions (direct):
Ti 0.0000 0.0000 0.0000
Br 0.5000 0.5000 0.5000
F 0.0582 0.0582 0.0582
F 0.9418 0.9418 0.9418


*R*
## TiBrF2 (PBE-GGA)

Data for an optimized crystal structure of TiBrF2.

Unit cell a=6.4028 b=6.4028 c=6.4028 alpha=127.15 beta=127.15 gamma=78.00
Positions (direct):
Ti 0.3750 0.6250 0.7500
Ti 0.6250 0.3750 0.2500
Br 0.1250 0.8750 0.2500
Br 0.8750 0.1250 0.7500
F 0.0000 0.5000 0.5000
F 0.5000 0.0000 0.0000
F 0.5000 0.5000 0.0000
F 0.5000 0.5000 0.5000


The most stable arrangement is *R*, and the next structure is 56.4 kJ/mol of atoms less stable.


*P*
## TiBr2F (PBE-GGA)

Data for an optimized crystal structure of TiBr2F.

Unit cell a=7.6414 b=7.6414 c=3.9548 alpha=104.92 beta=104.92 gamma=27.56
Positions (direct):
Ti 0.0000 0.0000 0.0000
Br 0.3714 0.3714 0.8722
Br 0.6286 0.6286 0.1278
F 0.0000 0.0000 0.5000


*Q*
## TiBr2F (PBE-GGA)

Data for an optimized crystal structure of TiBr2F.

Unit cell a=4.6092 b=4.6092 c=4.6092 alpha=60.00 beta=60.00 gamma=60.00
Positions (direct):
Ti 0.0000 0.0000 0.0000
Br 0.2500 0.2500 0.2500
Br 0.7500 0.7500 0.7500
F 0.5000 0.5000 0.5000


The most stable arrangement is *P*, and the next structure is 94.5 kJ/mol of atoms less stable.